(1)
A relaxed structure of Ti2SnH2. Source: Alexandria, functional PBE-GGA.

```
data_Ti2SnH2
_cell_length_a 5.166
_cell_length_b 5.166
_cell_length_c 5.675
_cell_angle_alpha 103.63
_cell_angle_beta 103.63
_cell_angle_gamma 118.85
_symmetry_space_group_name_H-M 'P 1'
_symmetry_Int_Tables_number 1
_symmetry_space_group_name_Hall 'P 1'
loop_
_atom_site_label
_atom_site_fract_x
_atom_site_fract_y
_atom_site_fract_z
Ti1 0.215 0.285 0.750
Ti2 0.466 0.034 0.250
Ti3 0.534 0.966 0.750
Ti4 0.785 0.715 0.250
Sn1 0.875 0.625 0.750
Sn2 0.125 0.375 0.250
H1 0.246 0.997 0.493
H2 0.497 0.746 0.993
H3 0.754 0.003 0.507
H4 0.503 0.254 0.007
```

Values from the calculation:
Energy: -5.7234 eV/atom
ρ: 6.1 g cm⁻³
Fermi-level density of states: 5.12 states/eV per cell
Volume: 118 Å³ per cell

(2)
A relaxed structure of GeHIr2. Source: Alexandria, functional PBE-GGA.

```
data_GeHIr2
_cell_length_a 4.116
_cell_length_b 4.116
_cell_length_c 4.116
_cell_angle_alpha 60.00
_cell_angle_beta 60.00
_cell_angle_gamma 60.00
_symmetry_space_group_name_H-M 'P 1'
_symmetry_Int_Tables_number 1
_symmetry_space_group_name_Hall 'P 1'
loop_
_atom_site_label
_atom_site_fract_x
_atom_site_fract_y
_atom_site_fract_z
H1 0.000 0.000 0.000
Ge1 0.500 0.500 0.500
Ir1 0.250 0.250 0.250
Ir2 0.750 0.750 0.750
```

Values from the calculation:
Energy: -6.1358 eV/atom
ρ: 15.4 g cm⁻³
Fermi-level density of states: 1.51 states/eV per cell
Volume: 49 Å³ per cell

(3)
A relaxed structure of Zr3HS. Source: Alexandria, functional PBE-GGA.

```
data_Zr3HS
_cell_length_a 4.309
_cell_length_b 4.309
_cell_length_c 4.309
_cell_angle_alpha 90.00
_cell_angle_beta 90.00
_cell_angle_gamma 90.00
_symmetry_space_group_name_H-M 'P 1'
_symmetry_Int_Tables_number 1
_symmetry_space_group_name_Hall 'P 1'
loop_
_atom_site_label
_atom_site_fract_x
_atom_site_fract_y
_atom_site_fract_z
H1 0.000 0.000 0.000
S1 0.500 0.500 0.500
Zr1 0.000 0.500 0.000
Zr2 0.000 0.000 0.500
Zr3 0.500 0.000 0.000
```

Values from the calculation:
Energy: -6.9099 eV/atom
ρ: 6.4 g cm⁻³
Fermi-level density of states: 4.93 states/eV per cell
Volume: 80 Å³ per cell